Entry 1:
The following is a DFT calculation (PBE-GGA) of crystalline CaHfTc2Pt at its relaxed geometry.

Unit cell a=4.447 b=4.447 c=4.868 alpha=90.00 beta=90.00 gamma=90.00
Space group P4/mmm (No. 123)
One atom of each set of equivalent atoms:
Ca: 0.000 0.000 0.000 (multiplicity 1)
Hf: 0.000 0.000 0.500 (multiplicity 1)
Tc: 0.000 0.500 0.000 (multiplicity 2)
Pt: 0.500 0.500 0.500 (multiplicity 1)

Properties
Total moment in μB per formula unit: 0.000
Calculated formation energy in eV/f.u.: 10.54

***

Entry 2:
The following is a DFT calculation (PBE-GGA) of crystalline CaHfTiPt2 at its relaxed geometry.

Unit cell a=4.480 b=4.480 c=10.818 alpha=90.00 beta=90.00 gamma=90.00
Space group I-4m2 (No. 119)
One atom of each set of equivalent atoms:
Ca: 0.000 0.000 0.000 (multiplicity 2)
Hf: 0.000 0.500 0.250 (multiplicity 2)
Ti: 0.000 0.500 0.750 (multiplicity 2)
Pt: 0.000 0.000 0.377 (multiplicity 4)

Properties
Total moment in μB per formula unit: 0.000
Calculated formation energy in eV/f.u.: -4.22

***

Entry 3:
The following is a DFT calculation (PBE-GGA) of crystalline CaHfTl2Pt at its relaxed geometry.

Unit cell a=5.462 b=5.462 c=5.340 alpha=90.00 beta=90.00 gamma=90.00
Space group P4/mmm (No. 123)
One atom of each set of equivalent atoms:
Ca: 0.000 0.000 0.000 (multiplicity 1)
Hf: 0.000 0.000 0.500 (multiplicity 1)
Tl: 0.000 0.500 0.000 (multiplicity 2)
Pt: 0.500 0.500 0.500 (multiplicity 1)

Properties
Total moment in μB per formula unit: 0.000
Calculated formation energy in eV/f.u.: 7.74

***

Entry 4:
The following is a DFT calculation (PBE-GGA) of crystalline CaYHfPt2 at its relaxed geometry.

Unit cell a=4.988 b=4.988 c=4.882 alpha=90.00 beta=90.00 gamma=90.00
Space group P4/mmm (No. 123)
One atom of each set of equivalent atoms:
Ca: 0.000 0.000 0.000 (multiplicity 1)
Y: 0.500 0.500 0.500 (multiplicity 1)
Hf: 0.000 0.000 0.500 (multiplicity 1)
Pt: 0.000 0.500 0.000 (multiplicity 2)

Properties
Total moment in μB per formula unit: 0.001
Calculated formation energy in eV/f.u.: 3.39

***

Entry 5:
The following is a DFT calculation (PBE-GGA) of crystalline CaHfZr2Pt at its relaxed geometry.

Unit cell a=4.942 b=4.942 c=4.848 alpha=90.00 beta=90.00 gamma=90.00
Space group P4/mmm (No. 123)
One atom of each set of equivalent atoms:
Ca: 0.000 0.000 0.000 (multiplicity 1)
Hf: 0.500 0.500 0.500 (multiplicity 1)
Zr: 0.000 0.500 0.000 (multiplicity 2)
Pt: 0.000 0.000 0.500 (multiplicity 1)

Properties
Total moment in μB per formula unit: 0.110
Calculated formation energy in eV/f.u.: 6.13

***

Entry 6:
The following is a DFT calculation (PBE-GGA) of crystalline RbCa2Hf at its relaxed geometry.

Unit cell a=5.198 b=5.198 c=24.591 alpha=90.00 beta=90.00 gamma=90.00
Space group I-42d (No. 122)
One atom of each set of equivalent atoms:
Rb: 0.000 0.000 0.000 (multiplicity 4)
Ca: 0.226 0.250 0.625 (multiplicity 8)
Hf: 0.000 0.000 0.500 (multiplicity 4)

Properties
Total moment in μB per formula unit: 1.522
Calculated formation energy in eV/f.u.: 4.61
Polymorph energy (0 for the lowest one) in eV/f.u.: 1.22